[1]
First-principles (GGA-PBE) data for crystalline CePr2Tc2N6 at its relaxed geometry, as listed in Alexandria.

```
11
Lattice="5.811 0.000 0.000 2.906 5.033 0.000 2.906 1.678 5.991" Properties=species:S:1:pos:R:3 pbc="T T T"
N 5.811 5.090 4.249
N 4.309 2.488 4.249
N 5.811 1.621 1.742
N 7.314 2.488 4.249
N 4.309 4.223 1.742
N 7.314 4.223 1.742
Pr 2.906 1.678 2.224
Pr 8.717 5.033 3.767
Ce 0.000 0.000 0.000
Tc 5.811 3.355 4.755
Tc 5.811 3.355 1.236
```

Summary:
E_form (uncorrected), eV/atom: -0.643


[2]
First-principles (GGA-PBE) data for crystalline HoThAg4 at its relaxed geometry, as listed in Alexandria.

```
6
Lattice="5.733 0.000 0.000 2.867 4.965 0.000 2.867 1.655 4.681" Properties=species:S:1:pos:R:3 pbc="T T T"
Ag 5.733 1.658 2.925
Ag 5.733 3.310 0.588
Ag 7.164 4.136 2.925
Ag 4.302 4.136 2.925
Th 0.000 0.000 0.000
Ho 2.867 1.655 1.170
```

Summary:
Energy above the lowest structure with this stoichiometry, meV per atom: 87


[3]
First-principles (GGA-PBE) data for crystalline InFeP4 at its relaxed geometry, as listed in Alexandria.

```
6
Lattice="2.228 -4.081 2.297 -1.547 -4.806 -1.185 3.113 -3.128 -2.723" Properties=species:S:1:pos:R:3 pbc="T T T"
Fe 2.846 -9.011 -1.209
P 1.439 -4.558 -0.612
P 0.693 -6.877 -1.183
P 2.942 -6.068 -1.926
P 2.514 -6.527 0.497
In 0.000 0.000 0.000
```

Summary:
VASP energy, eV/atom: -4.761